Record 1
Density functional theory data (PBE) for a relaxed structure of La5S4NO2.

a b c (Å): 15.767 4.097 16.802
angles (deg): 90.00 100.96 90.00
Space group C2/m (No. 12)
Inequivalent atoms, fractional coordinates:
La  0.017  0.000  0.168 (multiplicity 4)
La  0.078  0.000  0.593 (multiplicity 4)
La  0.125  0.500  0.024 (multiplicity 4)
La  0.141  0.500  0.415 (multiplicity 4)
La  0.233  0.500  0.793 (multiplicity 4)
S  0.047  0.500  0.716 (multiplicity 4)
S  0.158  0.500  0.244 (multiplicity 4)
S  0.178  0.000  0.900 (multiplicity 4)
S  0.213  0.500  0.594 (multiplicity 4)
N  0.073  0.000  0.451 (multiplicity 4)
O  0.003  0.500  0.914 (multiplicity 4)
O  0.138  0.000  0.096 (multiplicity 4)


Record 2
Density functional theory data (PBE) for a relaxed structure of LaSN2O.

a b c (Å): 5.100 5.100 4.320
angles (deg): 90.00 90.00 90.00
Space group P4/mmm (No. 123)
Inequivalent atoms, fractional coordinates:
La  0.000  0.000  0.000 (multiplicity 1)
S  0.500  0.500  0.500 (multiplicity 1)
N  0.000  0.500  0.000 (multiplicity 2)
O  0.000  0.000  0.500 (multiplicity 1)

Properties
DOS at the Fermi energy   3.58 states/eV per cell


Record 3
Density functional theory data (PBE) for a relaxed structure of LaSN2O.

a b c (Å): 4.153 4.153 3.818
angles (deg): 90.00 90.00 90.00
Space group P4/mmm (No. 123)
Inequivalent atoms, fractional coordinates:
La  0.000  0.000  0.000 (multiplicity 1)
S  0.500  0.500  0.000 (multiplicity 1)
N  0.000  0.500  0.500 (multiplicity 2)
O  0.500  0.500  0.500 (multiplicity 1)

Properties
DOS at the Fermi energy   4.04 states/eV per cell


Record 4
Density functional theory data (PBE) for a relaxed structure of LaS2NO.

a b c (Å): 4.151 4.151 4.474
angles (deg): 90.00 90.00 90.00
Space group P4/mmm (No. 123)
Inequivalent atoms, fractional coordinates:
La  0.000  0.000  0.000 (multiplicity 1)
S  0.000  0.500  0.500 (multiplicity 2)
N  0.500  0.500  0.000 (multiplicity 1)
O  0.500  0.500  0.500 (multiplicity 1)

Properties
Polymorph energy (0 for the lowest one)   0 meV per atom
DOS at the Fermi energy   2.47 states/eV per cell


The formation energy from raw total energies results, record by record, are as follows: -2.522 1.014 0.635 0.036 eV per atom.
The volume results, record by record, are as follows: 1066 112 66 77 Å³/cell.